Here is a relaxed Al3CCl crystal from Alexandria via LeMat-Bulk. Energies are from PBEsol.

Cell lengths 4.3174, 4.3174, 4.3174 Å; angles 90.00, 90.00, 90.00 degrees
Closest atoms and distances in Å follow each position.
Space group Pm-3m (No. 221)
Unique sites:
Al (0.0000, 0.0000, 0.5000) [3 per cell]  2 C 2.16
C (0.0000, 0.0000, 0.0000) [1 per cell]  6 Al 2.16
Cl (0.5000, 0.5000, 0.5000) [1 per cell]  12 Al 3.05

## Properties
Uncorrected energy: -4.264 eV/atom
Theoretical density: 2.6 g/cm³
Total magnetic moment: 0.000 μB/atom

Here is a relaxed Al2MoCCl crystal from Alexandria via LeMat-Bulk. Energies are from PBEsol.

Cell lengths 3.7399, 3.7399, 5.9877 Å; angles 90.00, 90.00, 90.00 degrees
Closest atoms and distances in Å follow each position.
Space group P4/mmm (No. 123)
Unique sites:
Al (0.0000, 0.5000, 0.0000) [2 per cell]  2 C 1.87
Mo (0.0000, 0.0000, 0.5000) [1 per cell]  4 Cl 2.64
C (0.5000, 0.5000, 0.0000) [1 per cell]  4 Al 1.87
Cl (0.5000, 0.5000, 0.5000) [1 per cell]  4 Mo 2.64

## Properties
Uncorrected energy: -5.385 eV/atom
Theoretical density: 3.9 g/cm³
Total magnetic moment: 0.646 μB/atom

Here is a relaxed Al2SiCCl crystal from Alexandria via LeMat-Bulk. Energies are from PBEsol.

Cell lengths 4.6893, 4.6893, 3.6764 Å; angles 90.00, 90.00, 90.00 degrees
Closest atoms and distances in Å follow each position.
Space group P4/mmm (No. 123)
Unique sites:
Al (0.0000, 0.5000, 0.0000) [2 per cell]  2 C 2.34
Si (0.0000, 0.0000, 0.5000) [1 per cell]  2 C 1.84
C (0.0000, 0.0000, 0.0000) [1 per cell]  2 Si 1.84
Cl (0.5000, 0.5000, 0.5000) [1 per cell]  8 Al 2.98, 4 Si 3.32

## Properties
Uncorrected energy: -4.443 eV/atom
Theoretical density: 2.7 g/cm³
Total magnetic moment: 0.000 μB/atom

Here is a relaxed AlCoC2 crystal from Alexandria via LeMat-Bulk. Energies are from PBEsol.

Cell lengths 4.3724, 4.3724, 8.9858 Å; angles 90.00, 90.00, 90.00 degrees
Closest atoms and distances in Å follow each position.
Space group I-42d (No. 122)
Unique sites:
Al (0.0000, 0.0000, 0.0000) [4 per cell]  4 C 2.02
Co (0.0000, 0.0000, 0.5000) [4 per cell]  4 C 1.81
C (0.2092, 0.2500, 0.6250) [8 per cell]  2 Co 1.81, 2 Al 2.02

## Properties
Uncorrected energy: -7.180 eV/atom
Theoretical density: 4.3 g/cm³
Total magnetic moment: 0.000 μB/atom
Energy relative to the elements: 0.60 eV/atom

Here is a relaxed AlCo3C crystal from Alexandria via LeMat-Bulk. Energies are from PBEsol.

Cell lengths 3.6793, 3.6793, 3.6793 Å; angles 90.00, 90.00, 90.00 degrees
Closest atoms and distances in Å follow each position.
Space group Pm-3m (No. 221)
Unique sites:
Al (0.0000, 0.0000, 0.0000) [1 per cell]  12 Co 2.60
Co (0.0000, 0.5000, 0.5000) [3 per cell]  2 C 1.84
C (0.5000, 0.5000, 0.5000) [1 per cell]  6 Co 1.84

## Properties
Uncorrected energy: -7.685 eV/atom
Theoretical density: 7.2 g/cm³
Total magnetic moment: 0.000 μB/atom
Energy relative to the elements: -0.30 eV/atom

Here is a relaxed AlCoPb2C crystal from Alexandria via LeMat-Bulk. Energies are from PBEsol.

Cell lengths 5.1723, 5.1723, 3.5828 Å; angles 90.00, 90.00, 90.00 degrees
Closest atoms and distances in Å follow each position.
Space group P4/mmm (No. 123)
Unique sites:
Al (0.0000, 0.0000, 0.0000) [1 per cell]  8 Pb 3.15
Co (0.5000, 0.5000, 0.0000) [1 per cell]  2 C 1.79
Pb (0.0000, 0.5000, 0.5000) [2 per cell]  2 C 2.59
C (0.5000, 0.5000, 0.5000) [1 per cell]  2 Co 1.79

## Properties
Uncorrected energy: -5.173 eV/atom
Theoretical density: 8.9 g/cm³
Total magnetic moment: 0.001 μB/atom
Energy relative to the elements: 0.72 eV/atom

Here is a relaxed Ta3Al2CoC crystal from Alexandria via LeMat-Bulk. Energies are from PBEsol.

Cell lengths 11.4990, 11.4990, 11.4990 Å; angles 90.00, 90.00, 90.00 degrees
Closest atoms and distances in Å follow each position.
Space group Fd-3m (No. 227, origin choice 2)
Unique sites:
Ta (0.0642, 0.3750, 0.3750) [48 per cell]  2 C 2.16
Al (0.0431, 0.0431, 0.7069) [32 per cell]  3 Co 2.48, 3 Al 2.66, 3 Ta 2.75
Co (0.0000, 0.0000, 0.5000) [16 per cell]  6 Al 2.48
C (0.0000, 0.0000, 0.0000) [16 per cell]  6 Ta 2.16

## Properties
Uncorrected energy: -9.636 eV/atom
Theoretical density: 11.7 g/cm³
Total magnetic moment: 0.000 μB/atom
Energy relative to the elements: -0.60 eV/atom

Here is a relaxed AlCr2C crystal from Alexandria via LeMat-Bulk. Energies are from PBEsol.

Cell lengths 2.8121, 2.8121, 12.5842 Å; angles 90.00, 90.00, 120.00 degrees
Closest atoms and distances in Å follow each position.
Space group P6_3/mmc (No. 194)
Unique sites:
Al (0.3333, 0.6667, 0.2500) [2 per cell]  6 Cr 2.64, 6 Al 2.81
Cr (0.3333, 0.6667, 0.5846) [4 per cell]  3 C 1.94
C (0.0000, 0.0000, 0.0000) [2 per cell]  6 Cr 1.94

## Properties
Uncorrected energy: -8.782 eV/atom
Theoretical density: 5.5 g/cm³
Total magnetic moment: 0.000 μB/atom
Energy relative to the elements: -0.23 eV/atom

Here is a relaxed AlCr4GaC2 crystal from Alexandria via LeMat-Bulk. Energies are from PBEsol.

Cell lengths 2.8212, 2.8212, 12.4842 Å; angles 90.00, 90.00, 120.00 degrees
Closest atoms and distances in Å follow each position.
Space group P-6m2 (No. 187)
Unique sites:
Al (0.0000, 0.0000, 0.0000) [1 per cell]  6 Cr 2.64, 6 Al 2.82
Cr (0.0000, 0.0000, 0.3366) [2 per cell]  3 C 1.94
Cr (0.3333, 0.6667, 0.1668) [2 per cell]  3 C 1.94
Ga (0.3333, 0.6667, 0.5000) [1 per cell]  6 Cr 2.61, 6 Ga 2.82
C (0.6667, 0.3333, 0.2515) [2 per cell]  6 Cr 1.94

## Properties
Uncorrected energy: -8.678 eV/atom
Theoretical density: 6.3 g/cm³
Total magnetic moment: 0.000 μB/atom
Energy relative to the elements: -0.22 eV/atom

Here is a relaxed TaAlCrC2 crystal from Alexandria via LeMat-Bulk. Energies are from PBEsol.

Cell lengths 4.1058, 4.1058, 5.0496 Å; angles 90.00, 90.00, 90.00 degrees
Closest atoms and distances in Å follow each position.
Space group P4/mmm (No. 123)
Unique sites:
Ta (0.0000, 0.0000, 0.0000) [1 per cell]  4 C 2.05
Al (0.5000, 0.5000, 0.5000) [1 per cell]  4 Cr 2.90
Cr (0.0000, 0.0000, 0.5000) [1 per cell]  2 Ta 2.52
C (0.0000, 0.5000, 0.0000) [2 per cell]  2 Ta 2.05

## Properties
Uncorrected energy: -7.347 eV/atom
Theoretical density: 5.5 g/cm³
Total magnetic moment: 0.695 μB/atom
Energy relative to the elements: 1.89 eV/atom

Here is a relaxed AlVCrC crystal from Alexandria via LeMat-Bulk. Energies are from PBEsol.

Cell lengths 2.8480, 2.8480, 12.7787 Å; angles 90.00, 90.00, 120.00 degrees
Closest atoms and distances in Å follow each position.
Space group P-3m1 (No. 164)
Unique sites:
Al (0.3333, 0.6667, 0.2427) [2 per cell]  3 Cr 2.63, 3 V 2.72, 6 Al 2.85
V (0.3333, 0.6667, 0.5880) [2 per cell]  3 C 1.99
Cr (0.3333, 0.6667, 0.9179) [2 per cell]  3 C 1.95
C (0.0000, 0.0000, 0.0000) [1 per cell]  6 Cr 1.95
C (0.0000, 0.0000, 0.5000) [1 per cell]  6 V 1.99

## Properties
Uncorrected energy: -8.801 eV/atom
Theoretical density: 5.3 g/cm³
Total magnetic moment: 0.000 μB/atom
Energy relative to the elements: -0.40 eV/atom

Here is a relaxed Al3CuC crystal from Alexandria via LeMat-Bulk. Energies are from PBEsol.

Cell lengths 4.3856, 4.3856, 4.3856 Å; angles 90.00, 90.00, 90.00 degrees
Closest atoms and distances in Å follow each position.
Space group Pm-3m (No. 221)
Unique sites:
Al (0.0000, 0.0000, 0.5000) [3 per cell]  2 Cu 2.19
Cu (0.0000, 0.0000, 0.0000) [1 per cell]  6 Al 2.19
C (0.5000, 0.5000, 0.5000) [1 per cell]  12 Al 3.10

## Properties
Uncorrected energy: -3.911 eV/atom
Theoretical density: 3.1 g/cm³
Total magnetic moment: 0.099 μB/atom
Energy relative to the elements: 1.34 eV/atom